1.
# Nd2CdSb3

A relaxed Nd2CdSb3 crystal (PBE, Alexandria via LeMat-Bulk).

Results
- Volume: 197.05 A^3/atom
- Magnetization: 0.17 μB/atom
- Crystal system: tetragonal
- Raw formation energy: 6.003 eV per formula unit

Geometry as CIF:
```
data_Nd2CdSb3
_chemical_formula_sum 'Nd2 Cd1 Sb3'
_cell_length_a 8.342
_cell_length_b 8.342
_cell_length_c 16.989
_cell_angle_alpha 90.00
_cell_angle_beta 90.00
_cell_angle_gamma 90.00
_space_group_name_H-M_alt 'P 4/m m m'
_space_group_IT_number 123
_space_group_name_Hall '-P 4 2'
loop_
_atom_site_label
_atom_site_fract_x
_atom_site_fract_y
_atom_site_fract_z
Nd1 0.000 0.000 0.174
Cd1 0.000 0.000 0.500
Sb1 0.000 0.000 0.000
Sb2 0.000 0.000 0.341
```

2.
# La4Gd2O

A relaxed La4Gd2O crystal (PBE, Alexandria via LeMat-Bulk).

Results
- Volume: 32.25 A^3/atom
- Magnetization: 2.21 μB/atom
- Crystal system: tetragonal
- Raw formation energy: -4.482 eV per formula unit

Geometry as CIF:
```
data_La4Gd2O
_chemical_formula_sum 'La8 Gd4 O2'
_cell_length_a 5.064
_cell_length_b 5.064
_cell_length_c 17.605
_cell_angle_alpha 90.00
_cell_angle_beta 90.00
_cell_angle_gamma 90.00
_space_group_name_H-M_alt 'I 4/m m m'
_space_group_IT_number 139
_space_group_name_Hall '-I 4 2'
loop_
_atom_site_label
_atom_site_fract_x
_atom_site_fract_y
_atom_site_fract_z
La1 0.000 0.000 0.142
La2 0.000 0.500 0.000
Gd1 0.000 0.000 0.347
O1 0.000 0.000 0.000
```

3.
# AlIr2Se

A relaxed AlIr2Se crystal (PBE, Alexandria via LeMat-Bulk).

Results
- Polymorph energy (0 for the lowest one): 0.168 eV per atom
- Volume: 15.39 A^3/atom
- Magnetization: 0.00 μB/atom
- Crystal system: orthorhombic
- Raw formation energy: -0.039 eV per formula unit

Geometry as CIF:
```
data_AlIr2Se
_chemical_formula_sum 'Al2 Ir4 Se2'
_cell_length_a 2.951
_cell_length_b 4.421
_cell_length_c 9.439
_cell_angle_alpha 90.00
_cell_angle_beta 90.00
_cell_angle_gamma 90.00
_space_group_name_H-M_alt 'I m m 2'
_space_group_IT_number 44
loop_
_space_group_symop_operation_xyz
'x,y,z'
'-x,-y,z'
'-x,y,z'
'x,-y,z'
'x+1/2,y+1/2,z+1/2'
'-x+1/2,-y+1/2,z+1/2'
'-x+1/2,y+1/2,z+1/2'
'x+1/2,-y+1/2,z+1/2'
loop_
_atom_site_label
_atom_site_fract_x
_atom_site_fract_y
_atom_site_fract_z
Al1 0.000 0.000 0.000
Ir1 0.000 0.000 0.509
Ir2 0.000 0.500 0.736
Se1 0.000 0.500 0.231
```

4.
# GaCuIr2Rh

A relaxed GaCuIr2Rh crystal (PBE, Alexandria via LeMat-Bulk).

Results
- Volume: 17.51 A^3/atom
- Formation energy from the elements: 1.216 eV per atom
- Magnetization: 0.18 μB/atom
- Crystal system: tetragonal

Geometry as CIF:
```
data_GaCuIr2Rh
_chemical_formula_sum 'Ga1 Cu1 Ir2 Rh1'
_cell_length_a 4.522
_cell_length_b 4.522
_cell_length_c 4.281
_cell_angle_alpha 90.00
_cell_angle_beta 90.00
_cell_angle_gamma 90.00
_space_group_name_H-M_alt 'P 4/m m m'
_space_group_IT_number 123
_space_group_name_Hall '-P 4 2'
loop_
_atom_site_label
_atom_site_fract_x
_atom_site_fract_y
_atom_site_fract_z
Ga1 0.000 0.000 0.000
Cu1 0.000 0.000 0.500
Ir1 0.000 0.500 0.000
Rh1 0.500 0.500 0.500
```

What is the magnetization in the first record?
0.17 μB/atom

Which value of volume does entry 3 give?
15.39 A^3/atom